Compound: Na3LiMnBPO7
Source: the Alexandria database
Functional: GGA+U
Structure: relaxed

space group	P2_1/m
relative energy among the computed polymorphs	13.6	meV/atom
N(E_F)	0.00	states/eV/cell

Structure (POSCAR):
```
Na3LiMnBPO7
1.0
5.1730 0.0000 0.0000
0.0000 6.6008 0.0000
-1.0827 0.0000 10.1755
Na Li Mn B P O
6 2 2 2 2 14
direct
0.1913 0.0018 0.2819 Na
0.1913 0.4982 0.2819 Na
0.2493 0.7500 0.5439 Na
0.7507 0.2500 0.4561 Na
0.8087 0.5018 0.7181 Na
0.8087 0.9982 0.7181 Na
0.0000 0.0000 0.0000 Li
0.0000 0.5000 0.0000 Li
0.3405 0.2500 0.8167 Mn
0.6595 0.7500 0.1833 Mn
0.2776 0.2500 0.5661 B
0.7224 0.7500 0.4339 B
0.3499 0.7500 0.9183 P
0.6501 0.2500 0.0817 P
0.0650 0.2500 0.6393 O
0.2211 0.5588 0.8485 O
0.2211 0.9412 0.8485 O
0.2541 0.2500 0.4315 O
0.2618 0.7500 0.0621 O
0.3511 0.2500 0.0779 O
0.4794 0.7500 0.3584 O
0.5206 0.2500 0.6416 O
0.6489 0.7500 0.9221 O
0.7382 0.2500 0.9379 O
0.7459 0.7500 0.5685 O
0.7789 0.0588 0.1515 O
0.7789 0.4412 0.1515 O
0.9350 0.7500 0.3607 O
```